The following is a DFT calculation (PBE-GGA) of TcMo2OsRu after structural relaxation.

a = 4.607 Å, b = 4.607 Å, c = 4.597 Å
α = 90.00°, β = 90.00°, γ = 90.00°
Fractional positions:
Tc: 0.000 0.000 0.000
Mo: 0.000 0.500 0.000
Mo: 0.500 0.000 0.000
Os: 0.000 0.000 0.500
Ru: 0.500 0.500 0.500

Summary:
V = 98 Å³/f.u.
Energy relative to the elements = 9.90 eV/f.u.



The following is a DFT calculation (PBE-GGA) of Tc2MoOsRu after structural relaxation.

a = 4.547 Å, b = 4.547 Å, c = 4.614 Å
α = 90.00°, β = 90.00°, γ = 90.00°
Fractional positions:
Tc: 0.000 0.500 0.000
Tc: 0.500 0.000 0.000
Mo: 0.000 0.000 0.500
Os: 0.500 0.500 0.500
Ru: 0.500 0.500 0.000

Summary:
V = 95 Å³/f.u.
Energy relative to the elements = 10.48 eV/f.u.



The following is a DFT calculation (PBE-GGA) of VMoOsRu after structural relaxation.

a = 4.349 Å, b = 4.349 Å, c = 4.349 Å
α = 60.00°, β = 60.00°, γ = 60.00°
Fractional positions:
V: 0.000 0.000 0.000
Mo: 0.750 0.750 0.750
Os: 0.500 0.500 0.500
Ru: 0.250 0.250 0.250

Summary:
V = 58 Å³/f.u.
Energy relative to the elements = 0.53 eV/f.u.



The following is a DFT calculation (PBE-GGA) of ZnMoOsRu after structural relaxation.

a = 4.346 Å, b = 4.346 Å, c = 4.346 Å
α = 60.00°, β = 60.00°, γ = 60.00°
Fractional positions:
Zn: 0.000 0.000 0.000
Mo: 0.500 0.500 0.500
Os: 0.250 0.250 0.250
Ru: 0.750 0.750 0.750

Summary:
V = 58 Å³/f.u.
Energy relative to the elements = 0.18 eV/f.u.



The following is a DFT calculation (PBE-GGA) of MoOs2S4 after structural relaxation.

a = 6.688 Å, b = 6.688 Å, c = 6.688 Å
α = 137.81°, β = 137.81°, γ = 61.20°
Fractional positions:
Mo: 0.000 0.000 0.000
Os: 0.396 0.396 0.000
Os: 0.604 0.604 0.000
S: 0.000 0.500 0.500
S: 0.207 0.207 0.000
S: 0.500 0.000 0.500
S: 0.793 0.793 0.000

Summary:
V = 133 Å³/f.u.
Raw formation energy = 714 meV per atom



The following is a DFT calculation (PBE-GGA) of MoOsS2 after structural relaxation.

a = 4.241 Å, b = 4.241 Å, c = 4.241 Å
α = 60.00°, β = 60.00°, γ = 60.00°
Fractional positions:
Mo: 0.000 0.000 0.000
Os: 0.500 0.500 0.500
S: 0.250 0.250 0.250
S: 0.750 0.750 0.750

Summary:
V = 54 Å³/f.u.
Raw formation energy = 257 meV per atom
Energy above the most stable polymorph in this dataset = 354 meV/atom



The following is a DFT calculation (PBE-GGA) of MoOsS2 after structural relaxation.

a = 8.021 Å, b = 8.021 Å, c = 8.021 Å
α = 21.69°, β = 21.69°, γ = 21.69°
Fractional positions:
Mo: 0.000 0.000 0.000
Os: 0.500 0.500 0.500
S: 0.405 0.405 0.405
S: 0.595 0.595 0.595

Summary:
V = 62 Å³/f.u.
Raw formation energy = -97 meV per atom
Energy above the most stable polymorph in this dataset = 0 meV/atom



The following is a DFT calculation (PBE-GGA) of MoOs3S after structural relaxation.

a = 4.327 Å, b = 4.327 Å, c = 4.327 Å
α = 90.00°, β = 90.00°, γ = 90.00°
Fractional positions:
Mo: 0.000 0.000 0.000
Os: 0.000 0.500 0.500
Os: 0.500 0.000 0.500
Os: 0.500 0.500 0.000
S: 0.500 0.500 0.500

Summary:
V = 81 Å³/f.u.
Raw formation energy = 1243 meV per atom
Energy above the most stable polymorph in this dataset = 0 meV/atom



The following is a DFT calculation (PBE-GGA) of MoOs3S after structural relaxation.

a = 4.732 Å, b = 4.732 Å, c = 4.732 Å
α = 90.00°, β = 90.00°, γ = 90.00°
Fractional positions:
Mo: 0.000 0.000 0.000
Os: 0.000 0.000 0.500
Os: 0.000 0.500 0.000
Os: 0.500 0.000 0.000
S: 0.500 0.500 0.500

Summary:
V = 106 Å³/f.u.
Raw formation energy = 2630 meV per atom
Energy above the most stable polymorph in this dataset = 1387 meV/atom



The following is a DFT calculation (PBE-GGA) of MoOs2S after structural relaxation.

a = 6.590 Å, b = 6.590 Å, c = 6.590 Å
α = 131.14°, β = 131.14°, γ = 71.59°
Fractional positions:
Mo: 0.000 0.000 0.000
Mo: 0.750 0.250 0.500
Os: 0.159 0.625 0.034
Os: 0.375 0.409 0.534
Os: 0.591 0.125 0.966
Os: 0.875 0.841 0.466
S: 0.250 0.750 0.500
S: 0.500 0.500 0.000

Summary:
V = 79 Å³/f.u.
Raw formation energy = 707 meV per atom



The following is a DFT calculation (PBE-GGA) of MoOsS2 after structural relaxation.

a = 6.351 Å, b = 6.351 Å, c = 6.351 Å
α = 130.09°, β = 130.09°, γ = 73.26°
Fractional positions:
Mo: 0.000 0.000 0.000
Mo: 0.750 0.250 0.500
Os: 0.250 0.750 0.500
Os: 0.500 0.500 0.000
S: 0.135 0.625 0.010
S: 0.375 0.385 0.510
S: 0.615 0.125 0.990
S: 0.875 0.865 0.490

Summary:
V = 73 Å³/f.u.
Raw formation energy = 120 meV per atom
Energy above the most stable polymorph in this dataset = 217 meV/atom



The following is a DFT calculation (PBE-GGA) of SnMo2OsS after structural relaxation.

a = 4.969 Å, b = 4.969 Å, c = 4.806 Å
α = 90.00°, β = 90.00°, γ = 90.00°
Fractional positions:
Sn: 0.000 0.000 0.000
Mo: 0.000 0.500 0.000
Mo: 0.500 0.000 0.000
Os: 0.000 0.000 0.500
S: 0.500 0.500 0.500

Summary:
V = 119 Å³/f.u.
Raw formation energy = 2634 meV per atom



The following is a DFT calculation (PBE-GGA) of Ta2MoOsS after structural relaxation.

a = 4.856 Å, b = 4.856 Å, c = 4.774 Å
α = 90.00°, β = 90.00°, γ = 90.00°
Fractional positions:
Ta: 0.000 0.500 0.000
Ta: 0.500 0.000 0.000
Mo: 0.000 0.000 0.500
Os: 0.000 0.000 0.000
S: 0.500 0.500 0.500

Summary:
V = 113 Å³/f.u.
Raw formation energy = 1479 meV per atom



The following is a DFT calculation (PBE-GGA) of TcMoOs2S after structural relaxation.

a = 4.729 Å, b = 4.729 Å, c = 4.719 Å
α = 90.00°, β = 90.00°, γ = 90.00°
Fractional positions:
Tc: 0.000 0.000 0.000
Mo: 0.000 0.000 0.500
Os: 0.000 0.500 0.500
Os: 0.500 0.000 0.500
S: 0.500 0.500 0.000

Summary:
V = 106 Å³/f.u.
Raw formation energy = 2400 meV per atom



The following is a DFT calculation (PBE-GGA) of TeMoOs2S after structural relaxation.

a = 4.757 Å, b = 4.757 Å, c = 5.162 Å
α = 90.00°, β = 90.00°, γ = 90.00°
Fractional positions:
Te: 0.000 0.000 0.000
Mo: 0.000 0.000 0.500
Os: 0.000 0.500 0.500
Os: 0.500 0.000 0.500
S: 0.500 0.500 0.000

Summary:
V = 117 Å³/f.u.
Raw formation energy = 2062 meV per atom



The following is a DFT calculation (PBE-GGA) of Sb2MoOs after structural relaxation.

a = 3.181 Å, b = 4.897 Å, c = 4.741 Å
α = 90.00°, β = 90.00°, γ = 90.00°
Fractional positions:
Sb: 0.000 0.000 0.000
Sb: 0.500 0.500 0.257
Mo: 0.000 0.500 0.735
Os: 0.500 0.000 0.527

Summary:
V = 74 Å³/f.u.
Raw formation energy = 348 meV per atom
Energy above the most stable polymorph in this dataset = 187 meV/atom



The following is a DFT calculation (PBE-GGA) of Sb2MoOs after structural relaxation.

a = 4.649 Å, b = 4.649 Å, c = 3.292 Å
α = 90.00°, β = 90.00°, γ = 90.00°
Fractional positions:
Sb: 0.000 0.500 0.000
Sb: 0.500 0.000 0.000
Mo: 0.000 0.000 0.500
Os: 0.500 0.500 0.500

Summary:
V = 71 Å³/f.u.
Raw formation energy = 355 meV per atom
Energy above the most stable polymorph in this dataset = 194 meV/atom



The following is a DFT calculation (PBE-GGA) of Sb2MoOs after structural relaxation.

a = 10.853 Å, b = 10.853 Å, c = 10.853 Å
α = 16.27°, β = 16.27°, γ = 16.27°
Fractional positions:
Sb: 0.000 0.000 0.000
Sb: 0.201 0.201 0.201
Mo: 0.737 0.737 0.737
Os: 0.468 0.468 0.468

Summary:
V = 87 Å³/f.u.
Raw formation energy = 378 meV per atom
Energy above the most stable polymorph in this dataset = 216 meV/atom



The following is a DFT calculation (PBE-GGA) of Sb2MoOs after structural relaxation.

a = 6.372 Å, b = 6.372 Å, c = 6.372 Å
α = 150.62°, β = 141.93°, γ = 48.80°
Fractional positions:
Sb: 0.000 0.000 0.000
Sb: 0.749 0.249 0.500
Mo: 0.408 0.408 0.000
Os: 0.193 0.693 0.500

Summary:
V = 78 Å³/f.u.
Raw formation energy = 474 meV per atom
Energy above the most stable polymorph in this dataset = 312 meV/atom



The following is a DFT calculation (PBE-GGA) of Sb2MoOs after structural relaxation.

a = 5.380 Å, b = 5.380 Å, c = 5.380 Å
α = 145.01°, β = 119.11°, γ = 72.20°
Fractional positions:
Sb: 0.244 0.244 0.000
Sb: 0.756 0.756 0.000
Mo: 0.500 0.000 0.500
Os: 0.000 0.500 0.500

Summary:
V = 77 Å³/f.u.
Raw formation energy = 773 meV per atom
Energy above the most stable polymorph in this dataset = 612 meV/atom